(1)
A plane-wave DFT calculation with GGA-PBE was carried out for BiH2N after structural relaxation.

a = 4.816 Å, b = 4.816 Å, c = 4.816 Å
α = 60.00°, β = 60.00°, γ = 60.00°
Atoms (fractional coordinates):
Bi  0.125  0.125  0.125
Bi  0.875  0.875  0.875
H  0.000  0.500  0.500
H  0.500  0.000  0.500
H  0.500  0.500  0.000
H  0.500  0.500  0.500
N  0.375  0.375  0.375
N  0.625  0.625  0.625

## Properties
Fermi-level density of states, states/eV/cell: 1.329
Energy relative to the lowest polymorph listed for this composition, meV/atom: 0
Space-group type: Fd-3m (227)

=====

(2)
A plane-wave DFT calculation with GGA-PBE was carried out for Ga4H2Pb after structural relaxation.

a = 6.906 Å, b = 6.906 Å, c = 6.906 Å
α = 131.98°, β = 131.98°, γ = 70.26°
Atoms (fractional coordinates):
Ga  0.000  0.500  0.500
Ga  0.238  0.238  0.000
Ga  0.500  0.000  0.500
Ga  0.762  0.762  0.000
H  0.035  0.035  0.000
H  0.965  0.965  0.000
Pb  0.500  0.500  0.000

## Properties
Fermi-level density of states, states/eV/cell: 2.762
Final energy, eV/f.u.: -18.9
Space-group type: I4/mmm (139)

=====

(3)
A plane-wave DFT calculation with GGA-PBE was carried out for AlFeSe2 after structural relaxation.

a = 3.672 Å, b = 3.672 Å, c = 6.624 Å
α = 106.03°, β = 106.03°, γ = 60.02°
Atoms (fractional coordinates):
Al  0.000  0.000  0.000
Fe  0.500  0.500  0.500
Se  0.250  0.250  0.751
Se  0.750  0.750  0.249

## Properties
Fermi-level density of states, states/eV/cell: 2.996
Formation energy (no corrections), eV/f.u.: -1.049
Space-group type: C2/m (12)

=====

(4)
A plane-wave DFT calculation with GGA-PBE was carried out for YGeSe2Br after structural relaxation.

a = 5.152 Å, b = 5.152 Å, c = 4.990 Å
α = 90.00°, β = 90.00°, γ = 90.00°
Atoms (fractional coordinates):
Y  0.000  0.000  0.000
Ge  0.500  0.500  0.500
Se  0.000  0.500  0.500
Se  0.500  0.000  0.500
Br  0.500  0.500  0.000

## Properties
Fermi-level density of states, states/eV/cell: 1.429
Formation energy (no corrections), eV/f.u.: -2.177
Energy relative to the lowest polymorph listed for this composition, meV/atom: 56
Space-group type: P4/mmm (123)